CaAl2In | GGA-PBE | relaxed

Its total moment is 0.000 μB/atom. As for the density of states at the Fermi level: 2.109 states/eV per cell. For the density, the calculation gives 3.6 g/cm3. The value obtained for the formation energy is -0.08 eV/atom.

It has space group Cm (No. 8), with a = 9.274 Å, b = 3.454 Å, c = 6.090 Å, α = 90.00°, β = 101.17° and γ = 90.00°. The asymmetric unit holds Ca at (0.000, 0.000, 0.000), Al at (0.258, 0.500, 0.297), Al at (0.493, 0.000, 0.470) and In at (0.238, 0.000, 0.694).